[1]
# PBE-GGA Al2FeRe, optimized geometry
# Polymorph energy (0 for the lowest one) (meV per atom): 98
# DFT formation energy (meV/atom): -81
# Density (kg/m³): 8974
data_Al2FeRe
_cell_length_a 4.263
_cell_length_b 4.263
_cell_length_c 4.263
_cell_angle_alpha 60.00
_cell_angle_beta 60.00
_cell_angle_gamma 60.00
_space_group_name_H-M_alt 'P 1'
_space_group_IT_number 1
loop_
_space_group_symop_operation_xyz
'x,y,z'
loop_
_atom_site_label
_atom_site_type_symbol
_atom_site_fract_x
_atom_site_fract_y
_atom_site_fract_z
_atom_site_occupancy
Re1 Re 0.250 0.250 0.250 1
Al1 Al 0.000 0.000 0.000 1
Al2 Al 0.750 0.750 0.750 1
Fe1 Fe 0.500 0.500 0.500 1


[2]
# PBE-GGA ScTa2Cd, optimized geometry
# DFT formation energy (meV/atom): 217
# Density (kg/m³): 10803
data_ScTa2Cd
_cell_length_a 5.151
_cell_length_b 5.151
_cell_length_c 5.539
_cell_angle_alpha 83.61
_cell_angle_beta 83.61
_cell_angle_gamma 33.15
_space_group_name_H-M_alt 'P 1'
_space_group_IT_number 1
loop_
_space_group_symop_operation_xyz
'x,y,z'
loop_
_atom_site_label
_atom_site_type_symbol
_atom_site_fract_x
_atom_site_fract_y
_atom_site_fract_z
_atom_site_occupancy
Ta1 Ta 0.009 0.009 0.972 1
Ta2 Ta 0.752 0.752 0.781 1
Sc1 Sc 0.245 0.245 0.257 1
Cd1 Cd 0.494 0.494 0.490 1


[3]
# PBE-GGA Ac8GeAs4Se3, optimized geometry
# Formation energy from raw total energies (eV/atom): -1.599
# Density (kg/m³): 7646
data_Ac8GeAs4Se3
_cell_length_a 9.063
_cell_length_b 9.067
_cell_length_c 9.063
_cell_angle_alpha 119.98
_cell_angle_beta 120.00
_cell_angle_gamma 90.00
_space_group_name_H-M_alt 'P 1'
_space_group_IT_number 1
loop_
_space_group_symop_operation_xyz
'x,y,z'
loop_
_atom_site_label
_atom_site_type_symbol
_atom_site_fract_x
_atom_site_fract_y
_atom_site_fract_z
_atom_site_occupancy
Ac1 Ac 0.753 0.760 0.507 1
Ac2 Ac 0.249 0.754 0.005 1
Ac3 Ac 0.751 0.246 0.995 1
Ac4 Ac 0.751 0.246 0.502 1
Ac5 Ac 0.249 0.754 0.498 1
Ac6 Ac 0.247 0.240 0.493 1
Ac7 Ac 0.244 0.246 0.995 1
Ac8 Ac 0.756 0.754 0.005 1
Ge1 Ge 0.000 0.500 0.000 1
Se1 Se 0.500 0.500 0.500 1
Se2 Se 0.000 0.500 0.500 1
Se3 Se 0.500 0.500 0.000 1
As1 As 0.500 0.000 0.000 1
As2 As 0.500 0.000 0.500 1
As3 As 0.000 0.000 0.500 1
As4 As 0.000 0.000 0.000 1


[4]
# PBE-GGA PaInS2, optimized geometry
# Polymorph energy (0 for the lowest one) (meV per atom): 7
# Formation energy from raw total energies (eV/atom): -1.031
# Density (kg/m³): 6479
data_PaInS2
_cell_length_a 3.919
_cell_length_b 3.919
_cell_length_c 8.217
_cell_angle_alpha 76.20
_cell_angle_beta 76.20
_cell_angle_gamma 60.00
_space_group_name_H-M_alt 'P 1'
_space_group_IT_number 1
loop_
_space_group_symop_operation_xyz
'x,y,z'
loop_
_atom_site_label
_atom_site_type_symbol
_atom_site_fract_x
_atom_site_fract_y
_atom_site_fract_z
_atom_site_occupancy
Pa1 Pa 0.500 0.500 0.500 1
In1 In 0.000 0.000 0.000 1
S1 S 0.766 0.766 0.702 1
S2 S 0.234 0.234 0.298 1


[5]
# PBE-GGA TaSbP2, optimized geometry
# Formation energy from raw total energies (eV/atom): 0.365
# Density (kg/m³): 8660
data_TaSbP2
_cell_length_a 5.020
_cell_length_b 5.020
_cell_length_c 5.020
_cell_angle_alpha 137.28
_cell_angle_beta 123.59
_cell_angle_gamma 73.27
_space_group_name_H-M_alt 'P 1'
_space_group_IT_number 1
loop_
_space_group_symop_operation_xyz
'x,y,z'
loop_
_atom_site_label
_atom_site_type_symbol
_atom_site_fract_x
_atom_site_fract_y
_atom_site_fract_z
_atom_site_occupancy
Sb1 Sb 0.250 0.750 0.500 1
P1 P 0.015 0.015 0.000 1
P2 P 0.485 0.485 0.000 1
Ta1 Ta 0.750 0.250 0.500 1


[6]
# PBE-GGA ZnRh2Au, optimized geometry
# DFT formation energy (meV/atom): 25
# Density (kg/m³): 12720
data_ZnRh2Au
_cell_length_a 2.755
_cell_length_b 2.755
_cell_length_c 9.065
_cell_angle_alpha 90.00
_cell_angle_beta 90.00
_cell_angle_gamma 117.35
_space_group_name_H-M_alt 'P 1'
_space_group_IT_number 1
loop_
_space_group_symop_operation_xyz
'x,y,z'
loop_
_atom_site_label
_atom_site_type_symbol
_atom_site_fract_x
_atom_site_fract_y
_atom_site_fract_z
_atom_site_occupancy
Rh1 Rh 0.000 0.000 0.018 1
Rh2 Rh 0.000 0.000 0.482 1
Au1 Au 0.500 0.500 0.750 1
Zn1 Zn 0.500 0.500 0.250 1


Across the entries above, DOS(E_F) takes the values 1.07, 4.34, 4.55, 3.40, 1.96, 6.02 states/eV per cell, respectively.
Across the entries above, energy takes the values -28.7, -30.1, -92.1, -24.6, -25.3, -19.2 eV for the cell shown, respectively.